--- A ---
# TcAsSN2 PBE relaxed
# crystal system = tetragonal
# Fermi-level density of states = 2.76 states/eV per cell
data_TcAsSN2
_chemical_formula_sum 'Tc1 As1 S1 N2'
_symmetry_space_group_name_H-M 'P 4/m m m'
_symmetry_Int_Tables_number 123
_symmetry_space_group_name_Hall '-P 4 2'
_cell_length_a 3.835
_cell_length_b 3.835
_cell_length_c 5.052
_cell_angle_alpha 90.00
_cell_angle_beta 90.00
_cell_angle_gamma 90.00
loop_
_atom_site_label
_atom_site_type_symbol
_atom_site_fract_x
_atom_site_fract_y
_atom_site_fract_z
_atom_site_occupancy
Tc1 Tc 0.000 0.000 0.000 1
As1 As 0.500 0.500 0.500 1
S1 S 0.000 0.000 0.500 1
N1 N 0.000 0.500 0.000 1


--- B ---
# TcAsSN2 PBE relaxed
# crystal system = tetragonal
# Fermi-level density of states = 2.02 states/eV per cell
data_TcAsSN2
_chemical_formula_sum 'Tc1 As1 S1 N2'
_symmetry_space_group_name_H-M 'P 4/m m m'
_symmetry_Int_Tables_number 123
_symmetry_space_group_name_Hall '-P 4 2'
_cell_length_a 3.636
_cell_length_b 3.636
_cell_length_c 5.835
_cell_angle_alpha 90.00
_cell_angle_beta 90.00
_cell_angle_gamma 90.00
loop_
_atom_site_label
_atom_site_type_symbol
_atom_site_fract_x
_atom_site_fract_y
_atom_site_fract_z
_atom_site_occupancy
Tc1 Tc 0.000 0.000 0.000 1
As1 As 0.500 0.500 0.500 1
S1 S 0.500 0.500 0.000 1
N1 N 0.000 0.500 0.500 1


Going by the computed energies, the most stable comes first: A, B.


--- A ---
# TeAsSN2 PBE relaxed
# crystal system = tetragonal
# Fermi-level density of states = 4.55 states/eV per cell
data_TeAsSN2
_chemical_formula_sum 'Te1 As1 S1 N2'
_symmetry_space_group_name_H-M 'P 4/m m m'
_symmetry_Int_Tables_number 123
_symmetry_space_group_name_Hall '-P 4 2'
_cell_length_a 3.685
_cell_length_b 3.685
_cell_length_c 7.757
_cell_angle_alpha 90.00
_cell_angle_beta 90.00
_cell_angle_gamma 90.00
loop_
_atom_site_label
_atom_site_type_symbol
_atom_site_fract_x
_atom_site_fract_y
_atom_site_fract_z
_atom_site_occupancy
Te1 Te 0.000 0.000 0.000 1
As1 As 0.500 0.500 0.000 1
S1 S 0.000 0.000 0.500 1
N1 N 0.000 0.500 0.500 1


--- B ---
# TeAsSN2 PBE relaxed
# crystal system = tetragonal
# Fermi-level density of states = 2.50 states/eV per cell
data_TeAsSN2
_chemical_formula_sum 'Te1 As1 S1 N2'
_symmetry_space_group_name_H-M 'P 4/m m m'
_symmetry_Int_Tables_number 123
_symmetry_space_group_name_Hall '-P 4 2'
_cell_length_a 3.893
_cell_length_b 3.893
_cell_length_c 4.824
_cell_angle_alpha 90.00
_cell_angle_beta 90.00
_cell_angle_gamma 90.00
loop_
_atom_site_label
_atom_site_type_symbol
_atom_site_fract_x
_atom_site_fract_y
_atom_site_fract_z
_atom_site_occupancy
Te1 Te 0.000 0.000 0.000 1
As1 As 0.500 0.500 0.500 1
S1 S 0.500 0.500 0.000 1
N1 N 0.000 0.500 0.500 1


Going by the computed energies, the most stable comes first: B, A.


--- A ---
# TeAsSN2 PBE relaxed
# crystal system = tetragonal
# Fermi-level density of states = 2.91 states/eV per cell
data_TeAsSN2
_chemical_formula_sum 'Te1 As1 S1 N2'
_symmetry_space_group_name_H-M 'P 4/m m m'
_symmetry_Int_Tables_number 123
_symmetry_space_group_name_Hall '-P 4 2'
_cell_length_a 3.739
_cell_length_b 3.739
_cell_length_c 6.627
_cell_angle_alpha 90.00
_cell_angle_beta 90.00
_cell_angle_gamma 90.00
loop_
_atom_site_label
_atom_site_type_symbol
_atom_site_fract_x
_atom_site_fract_y
_atom_site_fract_z
_atom_site_occupancy
Te1 Te 0.000 0.000 0.000 1
As1 As 0.000 0.000 0.500 1
S1 S 0.500 0.500 0.000 1
N1 N 0.000 0.500 0.500 1


--- B ---
# TeAsSN2 PBE relaxed
# crystal system = tetragonal
# Fermi-level density of states = 1.74 states/eV per cell
data_TeAsSN2
_chemical_formula_sum 'Te1 As1 S1 N2'
_symmetry_space_group_name_H-M 'P 4/m m m'
_symmetry_Int_Tables_number 123
_symmetry_space_group_name_Hall '-P 4 2'
_cell_length_a 3.970
_cell_length_b 3.970
_cell_length_c 5.249
_cell_angle_alpha 90.00
_cell_angle_beta 90.00
_cell_angle_gamma 90.00
loop_
_atom_site_label
_atom_site_type_symbol
_atom_site_fract_x
_atom_site_fract_y
_atom_site_fract_z
_atom_site_occupancy
Te1 Te 0.000 0.000 0.000 1
As1 As 0.500 0.500 0.500 1
S1 S 0.000 0.000 0.500 1
N1 N 0.000 0.500 0.000 1


Going by the computed energies, the most stable comes first: A, B.


--- A ---
# Te2AsSN PBE relaxed
# crystal system = tetragonal
# Fermi-level density of states = 3.62 states/eV per cell
data_Te2AsSN
_chemical_formula_sum 'Te2 As1 S1 N1'
_symmetry_space_group_name_H-M 'P 4/m m m'
_symmetry_Int_Tables_number 123
_symmetry_space_group_name_Hall '-P 4 2'
_cell_length_a 5.754
_cell_length_b 5.754
_cell_length_c 3.299
_cell_angle_alpha 90.00
_cell_angle_beta 90.00
_cell_angle_gamma 90.00
loop_
_atom_site_label
_atom_site_type_symbol
_atom_site_fract_x
_atom_site_fract_y
_atom_site_fract_z
_atom_site_occupancy
Te1 Te 0.000 0.500 0.000 1
As1 As 0.000 0.000 0.500 1
S1 S 0.500 0.500 0.000 1
N1 N 0.500 0.500 0.500 1


--- B ---
# Te2AsSN PBE relaxed
# crystal system = tetragonal
# Fermi-level density of states = 5.55 states/eV per cell
data_Te2AsSN
_chemical_formula_sum 'Te2 As1 S1 N1'
_symmetry_space_group_name_H-M 'P 4/m m m'
_symmetry_Int_Tables_number 123
_symmetry_space_group_name_Hall '-P 4 2'
_cell_length_a 5.568
_cell_length_b 5.568
_cell_length_c 3.615
_cell_angle_alpha 90.00
_cell_angle_beta 90.00
_cell_angle_gamma 90.00
loop_
_atom_site_label
_atom_site_type_symbol
_atom_site_fract_x
_atom_site_fract_y
_atom_site_fract_z
_atom_site_occupancy
Te1 Te 0.000 0.500 0.000 1
As1 As 0.000 0.000 0.000 1
S1 S 0.500 0.500 0.500 1
N1 N 0.000 0.000 0.500 1


Going by the computed energies, the most stable comes first: A, B.


--- A ---
# TlAsS2N PBE relaxed
# crystal system = tetragonal
# Fermi-level density of states = 6.69 states/eV per cell
data_TlAsS2N
_chemical_formula_sum 'Tl1 As1 S2 N1'
_symmetry_space_group_name_H-M 'P 4/m m m'
_symmetry_Int_Tables_number 123
_symmetry_space_group_name_Hall '-P 4 2'
_cell_length_a 5.164
_cell_length_b 5.164
_cell_length_c 4.093
_cell_angle_alpha 90.00
_cell_angle_beta 90.00
_cell_angle_gamma 90.00
loop_
_atom_site_label
_atom_site_type_symbol
_atom_site_fract_x
_atom_site_fract_y
_atom_site_fract_z
_atom_site_occupancy
Tl1 Tl 0.000 0.000 0.000 1
As1 As 0.500 0.500 0.500 1
S1 S 0.000 0.500 0.000 1
N1 N 0.000 0.000 0.500 1


--- B ---
# TlAsS2N PBE relaxed
# crystal system = tetragonal
# Fermi-level density of states = 3.86 states/eV per cell
data_TlAsS2N
_chemical_formula_sum 'Tl1 As1 S2 N1'
_symmetry_space_group_name_H-M 'P 4/m m m'
_symmetry_Int_Tables_number 123
_symmetry_space_group_name_Hall '-P 4 2'
_cell_length_a 4.992
_cell_length_b 4.992
_cell_length_c 3.739
_cell_angle_alpha 90.00
_cell_angle_beta 90.00
_cell_angle_gamma 90.00
loop_
_atom_site_label
_atom_site_type_symbol
_atom_site_fract_x
_atom_site_fract_y
_atom_site_fract_z
_atom_site_occupancy
Tl1 Tl 0.000 0.000 0.000 1
As1 As 0.500 0.500 0.500 1
S1 S 0.000 0.500 0.500 1
N1 N 0.500 0.500 0.000 1


Going by the computed energies, the most stable comes first: B, A.


--- A ---
# VAsS2N PBE relaxed
# crystal system = tetragonal
# Fermi-level density of states = 9.33 states/eV per cell
data_VAsS2N
_chemical_formula_sum 'V1 As1 S2 N1'
_symmetry_space_group_name_H-M 'P 4/m m m'
_symmetry_Int_Tables_number 123
_symmetry_space_group_name_Hall '-P 4 2'
_cell_length_a 4.732
_cell_length_b 4.732
_cell_length_c 3.591
_cell_angle_alpha 90.00
_cell_angle_beta 90.00
_cell_angle_gamma 90.00
loop_
_atom_site_label
_atom_site_type_symbol
_atom_site_fract_x
_atom_site_fract_y
_atom_site_fract_z
_atom_site_occupancy
V1 V 0.000 0.000 0.000 1
As1 As 0.500 0.500 0.500 1
S1 S 0.000 0.500 0.500 1
N1 N 0.500 0.500 0.000 1


--- B ---
# VAsS2N PBE relaxed
# crystal system = tetragonal
# Fermi-level density of states = 2.58 states/eV per cell
data_VAsS2N
_chemical_formula_sum 'V1 As1 S2 N1'
_symmetry_space_group_name_H-M 'P 4/m m m'
_symmetry_Int_Tables_number 123
_symmetry_space_group_name_Hall '-P 4 2'
_cell_length_a 4.743
_cell_length_b 4.743
_cell_length_c 3.599
_cell_angle_alpha 90.00
_cell_angle_beta 90.00
_cell_angle_gamma 90.00
loop_
_atom_site_label
_atom_site_type_symbol
_atom_site_fract_x
_atom_site_fract_y
_atom_site_fract_z
_atom_site_occupancy
V1 V 0.000 0.000 0.000 1
As1 As 0.500 0.500 0.500 1
S1 S 0.000 0.500 0.000 1
N1 N 0.000 0.000 0.500 1


Going by the computed energies, the most stable comes first: B, A.